A plane-wave DFT calculation with PBE was carried out for Tb2ErBeC2 after structural relaxation.

a b c (Å): 5.4210 10.9434 3.6118
angles (deg): 90.00 90.00 90.00
Closest atoms and distances in Å follow each position.
Space group Pnnm (No. 58)
Unique sites:
Tb1 0.0014 0.2059 0.0000 (multiplicity 4)  3 C 2.47-2.52
Er1 0.0000 0.5000 0.5000 (multiplicity 2)  4 C 2.58
Be1 0.0000 0.0000 0.5000 (multiplicity 2)  2 C 1.72
C1 0.2358 0.1056 0.5000 (multiplicity 4)  1 Be 1.72

V = 17.9 Å³ per atom
energy of formation = -0.146 eV/atom